1.
The following is a SCAN calculation of a crystal of SrAlF2 relaxed with PBEsol, from Alexandria via LeMat-Bulk.

## Properties
Its energy is -11.307 eV/atom. The symmetry is R-3m (166). Its energy relative to the lowest polymorph listed for this composition is 111.3 meV per atom. The value obtained for the uncorrected formation energy is -2030 meV/atom. Its density is 3.7 g cm⁻³.

Structure (extended XYZ):
```
4
Lattice="4.312 0.000 0.000 2.156 3.735 0.000 2.156 1.245 4.272" Properties=species:S:1:pos:R:3 pbc="T T T"
Sr 0.000 0.000 0.000
F 2.156 1.245 1.727
Al 4.312 2.490 2.136
F 6.468 3.735 2.546
```

***

2.
The following is a SCAN calculation of a crystal of SrAlF5 relaxed with PBEsol, from Alexandria via LeMat-Bulk.

## Properties
Its energy is -10.739 eV/atom. The symmetry is P2_1/c (14). Its energy relative to the lowest polymorph listed for this composition is 89.8 meV per atom. The value obtained for the uncorrected formation energy is -3921 meV/atom. Its density is 3.6 g cm⁻³.

Structure (extended XYZ):
```
56
Lattice="-5.458 3.758 -2.967 -4.770 -1.234 7.212 6.159 10.731 2.263" Properties=species:S:1:pos:R:3 pbc="T T T"
F -2.499 12.210 4.483
F -3.433 5.436 1.104
Sr -3.880 8.665 4.713
Sr -5.000 3.630 -0.097
F -2.018 9.821 3.531
F 0.809 9.808 1.522
Al 0.348 7.114 4.108
F -2.937 4.420 -1.220
F -3.198 7.917 -0.353
F -3.929 0.295 6.240
F -2.960 1.935 4.683
F -7.022 5.290 4.872
F -1.109 11.321 1.825
F -5.531 4.753 2.164
F -2.743 6.964 6.342
F -0.999 3.201 0.030
Sr 0.931 9.626 6.604
F -4.674 6.097 -0.916
F -5.756 1.217 4.748
Sr -1.572 8.757 1.224
F -4.098 2.425 1.928
F -0.140 12.961 0.268
F -5.655 7.259 2.032
Sr 2.846 9.988 2.902
Al -4.600 1.938 5.943
F 0.029 10.831 4.580
F -0.636 7.820 5.404
F 1.687 12.039 1.760
Al -1.194 7.079 7.253
F -0.514 13.089 3.478
Al -4.416 6.143 2.400
Al -2.842 1.824 2.916
F 0.125 7.365 2.403
F -1.132 8.836 7.728
F -3.070 10.055 6.478
Sr -2.497 4.500 5.284
F 1.587 5.997 4.475
F -1.570 1.046 2.024
F -0.919 5.838 3.921
F -3.533 3.004 6.965
F -3.555 0.167 3.030
F -3.150 7.418 2.587
F 2.953 7.966 1.636
F -4.878 3.448 4.986
Al 0.532 11.318 0.564
F 0.606 7.159 7.424
Al -2.875 6.177 -0.745
Sr -0.189 4.591 1.795
F -4.194 5.891 4.105
F 1.462 8.503 4.344
F -2.051 3.435 2.977
F -0.871 5.339 6.861
Sr -6.914 3.268 3.606
F -0.536 10.253 -0.457
Al -1.227 11.433 3.591
F -1.326 6.292 0.166
```

***

The records above give, respectively, M_tot values of 0.9 0.0 μB per formula unit.